(1)
The following is a DFT calculation (PBE) of a relaxed La4SmDy3 crystal.

Cell and atoms, written as extended XYZ:
```
16
Lattice="5.168 0.000 0.000 0.000 10.330 0.000 0.000 0.000 10.338" Properties=species:S:1:pos:R:3 pbc="T T T"
Sm 2.917 6.376 5.169
Sm 0.333 3.954 0.000
La 0.333 1.323 7.752
La 0.333 8.994 0.000
La 0.333 1.323 2.585
La 2.917 9.007 2.583
La 2.917 9.007 7.754
La 2.917 1.335 5.169
La 0.333 9.010 5.169
La 2.917 1.320 0.000
Dy 0.333 3.944 5.169
Dy 0.333 6.376 7.753
Dy 2.917 6.386 0.000
Dy 2.917 3.953 2.585
Dy 0.333 6.376 2.584
Dy 2.917 3.953 7.753
```

Calculated values
total magnetization	0.000	μB per atom
distance to the lowest polymorph of the same formula	0	meV/atom
energy	-76.06	eV for the cell shown
N(E_F)	1.737	states/eV/atom
energy relative to the elements	0.0255	eV per atom



(2)
The following is a DFT calculation (PBE) of a relaxed La8Sm2Dy crystal.

Cell and atoms, written as extended XYZ:
```
11
Lattice="5.042 0.000 -1.434 -0.468 8.084 -1.645 0.047 -0.533 9.745" Properties=species:S:1:pos:R:3 pbc="T T T"
La 1.845 3.989 6.488
La 4.005 6.218 4.500
La 1.596 0.372 5.613
La 3.025 7.179 1.054
La 2.776 3.562 0.178
La 0.616 1.332 2.166
La -0.102 5.832 -0.359
La 4.723 1.718 7.025
Dy 2.521 0.000 -0.717
Sm 3.755 2.656 3.622
Sm 0.866 4.894 3.044
```

Calculated values
total magnetization	0.000	μB per atom
distance to the lowest polymorph of the same formula	0	meV/atom
energy	-53.28	eV for the cell shown
N(E_F)	1.796	states/eV/atom
energy relative to the elements	0.0166	eV per atom



(3)
The following is a DFT calculation (PBE) of a relaxed La2Sm15Dy2 crystal.

Cell and atoms, written as extended XYZ:
```
19
Lattice="-0.528 5.008 -7.325 -8.209 3.335 0.702 1.636 8.108 3.255" Properties=species:S:1:pos:R:3 pbc="T T T"
Sm -1.936 10.012 0.234
Sm -1.335 6.668 2.485
Sm -4.161 7.880 1.314
Sm 0.983 7.173 0.063
Sm 0.818 4.054 1.628
Sm -2.941 8.571 -4.682
Sm -0.264 2.504 -3.662
Sm -2.846 4.503 -4.903
Sm -6.510 7.794 -0.952
Sm -5.166 6.439 -3.602
Sm -5.239 4.775 1.473
Sm -4.105 1.668 0.351
Sm 0.125 5.943 -4.132
Sm -5.892 3.840 -1.720
Sm -0.592 8.657 -2.416
La -0.639 1.481 -0.303
La -6.463 14.970 -3.064
Dy -4.849 11.232 -2.299
Dy -2.253 5.219 -1.068
```

Calculated values
total magnetization	0.000	μB per atom
energy	-84.60	eV for the cell shown
N(E_F)	1.581	states/eV/atom
energy relative to the elements	0.2760	eV per atom



(4)
The following is a DFT calculation (PBE) of a relaxed La3SmDy5 crystal.

Cell and atoms, written as extended XYZ:
```
18
Lattice="7.138 0.000 0.000 0.000 9.914 0.000 0.000 -4.957 8.586" Properties=species:S:1:pos:R:3 pbc="T T T"
La 5.353 6.716 5.539
La 5.353 1.759 3.046
La 1.784 3.517 0.000
La 5.353 6.396 0.000
La 1.784 -1.759 3.046
La 1.784 3.198 5.539
Dy 1.784 6.521 5.877
Dy 0.000 0.000 5.724
Dy 1.784 6.786 0.000
Dy 3.569 0.000 5.724
Dy 5.353 3.393 5.877
Dy 3.569 4.957 2.862
Dy 5.353 -1.564 2.709
Dy 0.000 4.957 2.862
Dy 1.784 1.564 2.709
Dy 5.353 3.128 0.000
Sm 3.569 0.000 0.000
Sm 0.000 0.000 0.000
```

Calculated values
total magnetization	0.000	μB per atom
energy	-83.77	eV for the cell shown
N(E_F)	1.574	states/eV/atom
energy relative to the elements	0.0695	eV per atom



(5)
The following is a DFT calculation (PBE) of a relaxed La3Sm2Dy8 crystal.

Cell and atoms, written as extended XYZ:
```
13
Lattice="-4.442 1.197 -3.229 -4.222 -2.359 4.926 0.247 8.823 7.800" Properties=species:S:1:pos:R:3 pbc="T T T"
Sm -6.705 3.818 5.733
Sm -1.713 3.843 3.765
La 0.000 0.000 0.000
La -3.173 8.506 7.496
La -5.245 -0.845 2.002
Dy -3.486 5.051 6.652
Dy -2.017 0.506 2.955
Dy -3.823 1.603 5.840
Dy -4.595 6.058 3.657
Dy -2.821 2.895 0.057
Dy -5.596 4.766 9.441
Dy -4.931 2.610 2.845
Dy -6.400 7.154 6.543
```

Calculated values
total magnetization	0.000	μB per atom
distance to the lowest polymorph of the same formula	0	meV/atom
energy	-59.96	eV for the cell shown
N(E_F)	1.521	states/eV/atom
energy relative to the elements	0.0830	eV per atom



(6)
The following is a DFT calculation (PBE) of a relaxed La6Sm12Dy crystal.

Cell and atoms, written as extended XYZ:
```
19
Lattice="-4.195 6.690 3.743 2.856 -2.547 7.857 7.098 5.016 -0.904" Properties=species:S:1:pos:R:3 pbc="T T T"
Sm 5.374 8.710 7.176
Sm 4.173 3.623 7.278
Sm 4.393 3.109 3.985
Sm 3.011 1.466 1.235
Sm 2.748 7.693 9.461
Sm 0.384 0.449 3.520
Sm 1.217 2.799 5.961
Sm 1.366 6.050 6.711
Sm 4.542 6.360 4.735
Sm 1.586 5.536 3.418
Sm 5.872 5.853 9.354
Sm -0.113 3.306 1.341
La 4.105 5.035 1.093
La 3.483 0.176 5.589
La 7.268 4.701 6.086
La 2.275 8.983 5.107
La -1.509 4.458 4.610
La 1.654 4.124 9.603
Dy 0.000 0.000 0.000
```

Calculated values
total magnetization	0.000	μB per atom
distance to the lowest polymorph of the same formula	0	meV/atom
energy	-88.38	eV for the cell shown
N(E_F)	1.653	states/eV/atom
energy relative to the elements	0.1270	eV per atom



(7)
The following is a DFT calculation (PBE) of a relaxed La2Sm3Dy crystal.

Cell and atoms, written as extended XYZ:
```
12
Lattice="6.708 0.250 1.049 -1.828 8.885 1.465 -0.435 -0.250 6.776" Properties=species:S:1:pos:R:3 pbc="T T T"
La -0.026 3.275 3.211
La 2.219 7.718 7.884
La 4.471 5.610 6.079
La 2.226 1.167 1.406
Dy -0.849 6.664 1.750
Dy 5.295 2.221 7.541
Sm 0.966 4.318 6.724
Sm 0.834 -0.124 4.687
Sm 3.612 9.010 4.603
Sm 1.240 6.664 4.356
Sm 3.205 2.221 4.934
Sm 3.480 4.567 2.566
```

Calculated values
total magnetization	0.000	μB per atom
distance to the lowest polymorph of the same formula	0	meV/atom
energy	-56.56	eV for the cell shown
N(E_F)	1.557	states/eV/atom
energy relative to the elements	0.0560	eV per atom



(8)
The following is a DFT calculation (PBE) of a relaxed La12Sm7Dy crystal.

Cell and atoms, written as extended XYZ:
```
20
Lattice="6.294 0.000 -1.295 -3.245 9.856 -5.142 0.196 0.000 11.579" Properties=species:S:1:pos:R:3 pbc="T T T"
La 1.498 6.356 -4.055
La 0.473 9.856 1.586
La -1.498 6.356 4.055
La -1.304 5.839 -1.026
La 2.772 0.000 3.555
La 1.940 4.017 4.117
La 1.305 5.839 1.025
La 4.744 3.500 1.087
La 4.549 4.017 6.168
La 0.098 1.822 5.789
La 1.747 3.500 9.197
La 3.148 8.034 -0.647
Sm 2.371 9.856 -3.384
Sm -1.508 7.385 7.576
Sm 1.704 7.385 4.002
Sm 0.874 0.000 8.526
Sm 4.753 2.471 -2.434
Sm 1.541 2.471 1.140
Sm 3.147 0.000 -0.648
Dy 0.000 0.000 0.000
```

Calculated values
total magnetization	0.000	μB per atom
distance to the lowest polymorph of the same formula	0	meV/atom
energy	-93.20	eV for the cell shown
N(E_F)	1.290	states/eV/atom
energy relative to the elements	0.1783	eV per atom



(9)
The following is a DFT calculation (PBE) of a relaxed La4Sm5Dy4 crystal.

Cell and atoms, written as extended XYZ:
```
13
Lattice="-2.217 3.012 -3.551 -0.086 -5.200 -8.103 -9.426 -1.927 0.507" Properties=species:S:1:pos:R:3 pbc="T T T"
La -8.639 -0.953 -6.649
La -5.997 -3.504 -6.717
La -5.732 -0.612 -4.430
La -3.091 -3.162 -4.498
Sm 0.000 0.000 0.000
Sm -2.664 -2.660 -8.083
Sm -9.066 -1.456 -3.064
Sm -2.872 -0.281 -2.190
Sm -8.857 -3.835 -8.958
Dy -6.158 -1.125 -0.854
Dy -9.265 -4.291 -5.344
Dy -5.571 -2.991 -10.293
Dy -2.464 0.176 -5.803
```

Calculated values
total magnetization	0.000	μB per atom
energy	-61.40	eV for the cell shown
N(E_F)	1.635	states/eV/atom
energy relative to the elements	0.0241	eV per atom



(10)
The following is a DFT calculation (PBE) of a relaxed LaSmDySn crystal.

Cell and atoms, written as extended XYZ:
```
4
Lattice="-2.168 -1.390 4.844 1.458 -4.709 2.407 3.108 0.077 4.520" Properties=species:S:1:pos:R:3 pbc="T T T"
Sn 0.600 -1.506 2.943
Sm 0.000 0.000 0.000
La 1.799 -4.517 8.828
Dy 1.199 -3.011 5.886
```

Calculated values
total magnetization	0.000	μB per atom
energy	-19.23	eV for the cell shown
N(E_F)	1.427	states/eV/atom
energy relative to the elements	-0.2443	eV per atom



(11)
The following is a DFT calculation (PBE) of a relaxed LaTb2Sm6Dy crystal.

Cell and atoms, written as extended XYZ:
```
20
Lattice="-0.520 1.819 -9.515 0.678 -8.818 -1.155 -8.111 3.326 1.647" Properties=species:S:1:pos:R:3 pbc="T T T"
Sm -1.909 -5.220 -9.589
Sm -5.716 -0.844 -5.287
Sm -8.126 0.905 -6.653
Sm 0.173 -4.578 -2.370
Sm -3.554 -4.382 -1.136
Sm -0.750 -5.218 -5.962
Sm -3.047 -6.664 -3.431
Sm -2.237 -2.830 -3.735
Sm -7.203 1.544 -3.061
Sm -4.399 0.709 -7.887
Sm -6.043 1.546 0.566
Sm -4.906 2.990 -5.591
La 0.308 -8.033 -3.457
La -8.261 4.359 -5.566
Tb -5.356 -3.910 -4.078
Tb -2.597 0.236 -4.944
Tb -6.510 -1.764 -8.551
Tb -1.443 -1.910 -0.472
Dy -4.642 -1.193 -1.879
Dy -3.311 -2.481 -7.144
```

Calculated values
total magnetization	0.000	μB per atom
energy	-91.88	eV for the cell shown
N(E_F)	1.446	states/eV/atom
energy relative to the elements	0.1167	eV per atom



(12)
The following is a DFT calculation (PBE) of a relaxed LaTbSm2Dy4 crystal.

Cell and atoms, written as extended XYZ:
```
16
Lattice="-2.864 -5.339 7.351 2.626 -8.018 -4.423 5.555 10.468 0.209" Properties=species:S:1:pos:R:3 pbc="T T T"
La 2.659 -1.444 1.568
La 2.691 5.129 7.560
Dy 5.366 0.452 2.412
Dy 1.310 -7.243 -1.483
Dy 2.600 -4.781 2.313
Dy 2.717 1.892 0.824
Dy 4.084 -2.007 -1.370
Dy 4.007 4.354 4.619
Dy 1.234 -0.881 4.506
Dy -0.049 -3.341 0.724
Tb 1.313 -4.009 -2.212
Tb 1.226 -4.114 5.244
Sm -1.432 -2.670 3.675
Sm 2.778 5.234 0.105
Sm -0.119 -6.678 1.464
Sm 1.345 2.564 3.780
```

Calculated values
total magnetization	0.001	μB per atom
energy	-68.27	eV for the cell shown
N(E_F)	2.491	states/eV/atom
energy relative to the elements	0.4088	eV per atom



(13)
The following is a DFT calculation (PBE) of a relaxed LaTb5SmDy2 crystal.

Cell and atoms, written as extended XYZ:
```
18
Lattice="-0.898 -6.338 -6.219 8.684 -1.930 0.712 -5.454 -0.912 8.121" Properties=species:S:1:pos:R:3 pbc="T T T"
Dy 0.441 -4.114 -3.739
Dy 3.247 -1.469 -0.436
Dy 7.345 -4.154 -1.768
Dy 4.539 -6.799 -5.070
Tb 0.000 0.000 0.000
Tb 5.878 -7.320 -2.396
Tb 3.893 -4.134 -2.753
Tb 1.451 -6.948 -3.334
Tb -3.546 -1.860 5.011
Tb 0.880 -2.232 5.948
Tb 5.514 -3.970 0.647
Tb 1.088 -3.598 -0.291
Tb 1.243 -5.581 2.906
Tb -3.183 -5.209 1.968
La 3.112 -6.657 -0.069
La -0.781 -2.523 2.684
Sm -1.230 -5.692 -0.425
Sm 3.561 -3.488 3.040
```

Calculated values
total magnetization	0.000	μB per atom
energy	-79.02	eV for the cell shown
N(E_F)	1.339	states/eV/atom
energy relative to the elements	0.2769	eV per atom



(14)
The following is a DFT calculation (PBE) of a relaxed La2Tb6SmDy3 crystal.

Cell and atoms, written as extended XYZ:
```
12
Lattice="6.230 -0.001 0.006 -3.115 5.395 0.006 -1.049 -1.816 11.715" Properties=species:S:1:pos:R:3 pbc="T T T"
Dy 1.033 1.789 5.863
Dy 4.150 -0.011 5.863
Dy -2.084 3.589 5.863
Tb -0.005 3.581 8.739
Tb -0.012 -0.020 8.732
Tb 3.104 1.786 8.739
Tb 2.071 -0.003 2.988
Tb 2.078 3.598 2.995
Tb -1.037 1.792 2.988
La 0.002 3.595 0.006
La 3.113 1.799 0.006
Sm 0.000 0.000 0.000
```

Calculated values
total magnetization	0.000	μB per atom
energy	-55.93	eV for the cell shown
N(E_F)	1.377	states/eV/atom
energy relative to the elements	0.0196	eV per atom



(15)
The following is a DFT calculation (PBE) of a relaxed La2Tb2Sm2Dy crystal.

Cell and atoms, written as extended XYZ:
```
7
Lattice="-3.032 -2.546 -3.281 4.064 -3.659 3.112 -5.945 -0.070 5.549" Properties=species:S:1:pos:R:3 pbc="T T T"
Tb -5.424 -2.017 2.549
Tb 0.510 -4.258 2.832
La -3.110 -4.841 2.600
La -1.805 -1.434 2.780
Sm -3.667 -2.869 5.614
Sm -1.247 -3.406 -0.234
Dy 0.000 0.000 0.000
```

Calculated values
total magnetization	0.000	μB per atom
energy	-32.98	eV for the cell shown
N(E_F)	1.621	states/eV/atom
energy relative to the elements	0.0252	eV per atom



(16)
The following is a DFT calculation (PBE) of a relaxed La3TbSm2Dy6 crystal.

Cell and atoms, written as extended XYZ:
```
12
Lattice="-3.438 3.882 -3.519 4.597 -3.361 -2.616 -7.946 -8.832 -0.121" Properties=species:S:1:pos:R:3 pbc="T T T"
Dy -3.006 -0.838 -1.703
Dy -5.698 -6.526 -1.632
Dy -0.330 -3.250 -1.403
Dy -3.781 -7.473 -4.553
Dy -1.089 -1.785 -4.624
Dy -6.457 -5.061 -4.854
La -0.717 -6.568 -2.827
La -6.071 -1.743 -3.429
La -3.394 -4.156 -3.128
Sm -0.759 1.466 -3.218
Sm 1.918 -0.946 -2.917
Tb 0.000 0.000 0.000
```

Calculated values
total magnetization	0.000	μB per atom
energy	-56.26	eV for the cell shown
N(E_F)	1.297	states/eV/atom
energy relative to the elements	0.0167	eV per atom



(17)
The following is a DFT calculation (PBE) of a relaxed LaTbSm5Dy2 crystal.

Cell and atoms, written as extended XYZ:
```
18
Lattice="9.238 0.000 0.000 0.000 9.238 0.000 -4.619 -4.619 7.275" Properties=species:S:1:pos:R:3 pbc="T T T"
Sm 6.491 7.365 1.892
Sm 0.000 0.000 0.000
Sm -2.747 1.872 5.382
Sm 4.619 4.619 0.000
Sm 1.872 6.491 1.892
Sm 1.872 2.747 5.382
Sm 2.747 1.872 1.892
Sm 7.365 2.747 1.892
Sm 2.747 -1.872 5.382
Sm -1.872 -2.747 5.382
Dy 1.022 3.597 0.000
Dy 5.641 1.022 0.000
Dy 3.597 8.215 0.000
Dy 8.215 5.641 0.000
Tb 0.000 4.619 3.637
Tb 4.619 0.000 3.637
La 0.000 0.000 3.637
La 4.619 4.619 3.637
```

Calculated values
total magnetization	0.000	μB per atom
energy	-79.60	eV for the cell shown
N(E_F)	1.524	states/eV/atom
energy relative to the elements	0.2843	eV per atom



(18)
The following is a DFT calculation (PBE) of a relaxed LaTb2Sm6Dy3 crystal.

Cell and atoms, written as extended XYZ:
```
12
Lattice="6.250 0.000 0.017 -3.124 5.413 0.017 -1.074 -1.860 11.761" Properties=species:S:1:pos:R:3 pbc="T T T"
Dy 4.147 -0.026 5.897
Dy 1.026 1.777 5.897
Dy -2.095 3.579 5.897
Sm 3.103 1.753 8.813
Sm 2.085 -0.011 2.982
Sm 2.075 3.592 3.000
Sm -0.022 -0.038 8.794
Sm -1.051 1.800 2.982
Sm -0.032 3.564 8.813
Tb 3.124 1.805 0.017
Tb 0.002 3.608 0.017
La 0.000 0.000 0.000
```

Calculated values
total magnetization	0.000	μB per atom
energy	-56.10	eV for the cell shown
N(E_F)	1.365	states/eV/atom
energy relative to the elements	0.0177	eV per atom



(19)
The following is a DFT calculation (PBE) of a relaxed LaTb2Sm3Dy6 crystal.

Cell and atoms, written as extended XYZ:
```
12
Lattice="6.212 0.000 0.018 -3.104 5.381 0.018 -1.065 -1.844 11.664" Properties=species:S:1:pos:R:3 pbc="T T T"
Dy 3.086 1.746 8.769
Dy -1.043 1.791 2.930
Dy -0.030 3.545 8.769
Dy 2.063 3.572 2.949
Dy -0.020 -0.035 8.750
Dy 2.073 -0.009 2.930
Tb 3.107 1.794 0.018
Tb 0.001 3.587 0.018
La 0.000 0.000 0.000
Sm 4.124 -0.023 5.849
Sm -2.081 3.560 5.849
Sm 1.021 1.768 5.849
```

Calculated values
total magnetization	0.000	μB per atom
energy	-55.76	eV for the cell shown
N(E_F)	1.261	states/eV/atom
energy relative to the elements	0.0166	eV per atom